Compound: CaGd2Ga
Source: the Alexandria database
Functional: GGA-PBE
Structure: optimized geometry

Cell lengths 3.6251, 3.6251, 11.4506 Å; angles 80.89, 80.89, 60.00 degrees
Sites, in units of the cell vectors:
Ca 0.0000 0.0000 0.0000
Gd 0.1030 0.1030 0.6909
Gd 0.8970 0.8970 0.3091
Ga 0.5000 0.5000 0.5000

Output
For the density of states at the Fermi level, the calculation gives 4.5 states/eV per cell. The value obtained for the spin magnetization is 3.7393 μB/atom. For the formation energy, the calculation gives -0.058 eV/atom. The value obtained for the energy above the most stable polymorph in this dataset is 193 meV per atom.